# HoPu2In PBE-GGA optimized geometry
# excess energy over the best structure of this formula in the dataset	0	meV per atom
# calculated formation energy	-120	meV/atom
# density of states at the Fermi level	2.673	states/eV per atom
# density	12061	kg/m3
data_HoPu2In
_chemical_formula_sum 'Ho1 Pu2 In1'
_symmetry_space_group_name_H-M 'P 4/m m m'
_symmetry_Int_Tables_number 123
_symmetry_space_group_name_Hall '-P 4 2'
_cell_length_a 4.536
_cell_length_b 4.536
_cell_length_c 5.137
_cell_angle_alpha 90.00
_cell_angle_beta 90.00
_cell_angle_gamma 90.00
loop_
_atom_site_label
_atom_site_type_symbol
_atom_site_fract_x
_atom_site_fract_y
_atom_site_fract_z
Ho1 Ho 0.000 0.000 0.000
Pu1 Pu 0.000 0.500 0.500
In1 In 0.500 0.500 0.000